Entry 1:
BeMo2W: relaxed, PBEsol.

As for the density of states at the Fermi level: 0.556 states/eV/atom. The calculation puts the formation energy at 208.5 meV/atom.

Unit cell a=5.0015 b=5.0015 c=5.0015 alpha=143.54 beta=129.89 gamma=63.54
Positions (direct):
Be (0.0000, 0.0000, 0.0000)
Mo (0.2536, 0.7536, 0.5000)
Mo (0.7464, 0.2464, 0.5000)
W (0.5000, 0.5000, 0.0000)

Entry 2:
Al11O18: relaxed, PBEsol.

As for the formation energy from raw total energies: -2.749 eV/atom.

Unit cell a=5.6211 b=22.7605 c=5.6267 alpha=90.00 beta=119.96 gamma=90.00
Positions (direct):
Al (0.0000, 0.0000, 0.0000)
Al (0.0000, 0.5000, 0.0000)
Al (0.1647, 0.1059, 0.8300)
Al (0.1647, 0.3941, 0.8300)
Al (0.1666, 0.1066, 0.3332)
Al (0.1666, 0.3934, 0.3332)
Al (0.3320, 0.6733, 0.6641)
Al (0.3320, 0.8267, 0.6641)
Al (0.3338, 0.5247, 0.6676)
Al (0.3338, 0.9753, 0.6676)
Al (0.3348, 0.6058, 0.1700)
Al (0.3348, 0.8942, 0.1700)
Al (0.6652, 0.1058, 0.8300)
Al (0.6652, 0.3942, 0.8300)
Al (0.6662, 0.0247, 0.3324)
Al (0.6662, 0.4753, 0.3324)
Al (0.6680, 0.1733, 0.3359)
Al (0.6680, 0.3267, 0.3359)
Al (0.8334, 0.6066, 0.6668)
Al (0.8334, 0.8934, 0.6668)
Al (0.8353, 0.6059, 0.1700)
Al (0.8353, 0.8941, 0.1700)
O (0.0011, 0.6404, 0.0022)
O (0.0011, 0.8596, 0.0022)
O (0.0019, 0.1437, 0.5005)
O (0.0019, 0.3563, 0.5005)
O (0.1573, 0.5489, 0.3145)
O (0.1573, 0.9511, 0.3145)
O (0.1586, 0.5496, 0.8448)
O (0.1586, 0.9504, 0.8448)
O (0.3137, 0.0496, 0.1552)
O (0.3137, 0.4504, 0.1552)
O (0.3333, 0.0553, 0.6666)
O (0.3333, 0.4447, 0.6666)
O (0.3392, 0.7500, 0.6794)
O (0.4597, 0.2500, 0.9089)
O (0.4982, 0.1443, 0.9963)
O (0.4982, 0.3557, 0.9963)
O (0.4987, 0.1437, 0.5005)
O (0.4987, 0.3563, 0.5005)
O (0.5013, 0.6437, 0.4995)
O (0.5013, 0.8563, 0.4995)
O (0.5018, 0.6443, 0.0037)
O (0.5018, 0.8557, 0.0037)
O (0.5403, 0.7500, 0.0911)
O (0.6608, 0.2500, 0.3206)
O (0.6667, 0.5553, 0.3334)
O (0.6667, 0.9447, 0.3334)
O (0.6863, 0.5496, 0.8448)
O (0.6863, 0.9504, 0.8448)
O (0.8414, 0.0496, 0.1552)
O (0.8414, 0.4504, 0.1552)
O (0.8427, 0.0489, 0.6855)
O (0.8427, 0.4511, 0.6855)
O (0.9981, 0.6437, 0.4995)
O (0.9981, 0.8563, 0.4995)
O (0.9989, 0.1404, 0.9978)
O (0.9989, 0.3596, 0.9978)

Entry 3:
NiHgSb2: relaxed, PBEsol.

As for the formation energy from raw total energies: -0.095 eV/atom. As for the density of states at the Fermi level: 0.368 states/eV/atom.

Unit cell a=3.8690 b=3.8690 c=7.2976 alpha=105.46 beta=105.46 gamma=60.02
Positions (direct):
Ni (0.0000, 0.0000, 0.0000)
Hg (0.5000, 0.5000, 0.5000)
Sb (0.2747, 0.2747, 0.8257)
Sb (0.7253, 0.7253, 0.1743)

Q: What is the formula in the first record?
A: BeMo2W